(1)
Material: ZnAgTe2I
Method: DFT, PBE-GGA
State: optimized geometry

a b c (Å): 5.5171 5.5171 5.6168
angles (deg): 90.00 90.00 90.00
Space group P4/mmm (No. 123)
One atom of each set of equivalent atoms:
Zn (0.0000, 0.0000, 0.0000) [1 per cell]
Ag (0.5000, 0.5000, 0.5000) [1 per cell]
Te (0.0000, 0.5000, 0.5000) [2 per cell]
I (0.5000, 0.5000, 0.0000) [1 per cell]

Computed properties:
Raw formation energy in meV per atom: 540.4

---

(2)
Material: KPdBr
Method: DFT, PBE-GGA
State: optimized geometry

a b c (Å): 5.6841 4.5903 6.8634
angles (deg): 90.00 90.00 90.00
Space group Pmma (No. 51)
One atom of each set of equivalent atoms:
K (0.2500, 0.0000, 0.2250) [2 per cell]
Pd (0.0000, 0.5000, 0.5000) [2 per cell]
Br (0.2500, 0.5000, 0.8004) [2 per cell]

Computed properties:
Raw formation energy in meV per atom: -700.7

---

(3)
Material: YHf2Al2
Method: DFT, PBE-GGA
State: optimized geometry

a b c (Å): 8.4330 8.4330 3.0349
angles (deg): 90.00 90.00 90.00
Space group P4/mbm (No. 127)
One atom of each set of equivalent atoms:
Y (0.0000, 0.0000, 0.0000) [2 per cell]
Hf (0.1235, 0.3765, 0.0000) [4 per cell]
Al (0.1719, 0.6719, 0.5000) [4 per cell]

Computed properties:
Energy of formation from the pure elements in meV/atom: -156

---

(4)
Material: Tb2HoTmSc2
Method: DFT, PBE-GGA
State: optimized geometry

a b c (Å): 6.8542 9.3480 5.4221
angles (deg): 90.00 90.00 90.00
Space group Pnnm (No. 58)
One atom of each set of equivalent atoms:
Tb (0.2490, 0.1668, 0.0000) [4 per cell]
Ho (0.0000, 0.5000, 0.0000) [2 per cell]
Tm (0.0000, 0.0000, 0.5000) [2 per cell]
Sc (0.2498, 0.3333, 0.5000) [4 per cell]

Computed properties:
Energy of formation from the pure elements in meV/atom: 68

---

(5)
Material: BaTl2Fe
Method: DFT, PBE-GGA
State: optimized geometry

a b c (Å): 4.0470 6.0589 9.7772
angles (deg): 90.00 90.00 90.00
Space group Immm (No. 71)
One atom of each set of equivalent atoms:
Ba (0.0000, 0.0000, 0.0000) [2 per cell]
Tl (0.0000, 0.5000, 0.1993) [4 per cell]
Fe (0.0000, 0.0000, 0.5000) [2 per cell]

Computed properties:
Energy of formation from the pure elements in meV/atom: 262

---

(6)
Material: Ce3BiSb2
Method: DFT, PBE-GGA
State: optimized geometry

a b c (Å): 4.5241 6.4158 13.6375
angles (deg): 90.00 90.00 90.00
Space group Immm (No. 71)
One atom of each set of equivalent atoms:
Ce (0.0000, 0.0000, 0.0000) [2 per cell]
Ce (0.0000, 0.0000, 0.3293) [4 per cell]
Bi (0.0000, 0.5000, 0.0000) [2 per cell]
Sb (0.0000, 0.5000, 0.3347) [4 per cell]

Computed properties:
Raw formation energy in meV per atom: -955.7

---

(7)
Material: Zn2Cu2B
Method: DFT, PBE-GGA
State: optimized geometry

a b c (Å): 5.4843 5.4843 4.1277
angles (deg): 90.00 90.00 90.00
Space group P4/mbm (No. 127)
One atom of each set of equivalent atoms:
Zn (0.1625, 0.3375, 0.0000) [4 per cell]
Cu (0.1671, 0.6671, 0.5000) [4 per cell]
B (0.0000, 0.0000, 0.5000) [2 per cell]

Computed properties:
Energy of formation from the pure elements in meV/atom: 283

---

(8)
Material: SmGa5Ni2Rh
Method: DFT, PBE-GGA
State: optimized geometry

a b c (Å): 4.6375 4.6375 7.0682
angles (deg): 90.00 90.00 90.00
Space group P4/mmm (No. 123)
One atom of each set of equivalent atoms:
Sm (0.0000, 0.0000, 0.0000) [1 per cell]
Ga (0.0000, 0.5000, 0.3087) [4 per cell]
Ga (0.5000, 0.5000, 0.0000) [1 per cell]
Ni (0.5000, 0.5000, 0.3238) [2 per cell]
Rh (0.0000, 0.0000, 0.5000) [1 per cell]

Computed properties:
Energy of formation from the pure elements in meV/atom: -350

---

(9)
Material: HoZr2Zn3
Method: DFT, PBE-GGA
State: optimized geometry

a b c (Å): 3.4251 3.4251 10.1134
angles (deg): 90.00 90.00 90.00
Space group P4/mmm (No. 123)
One atom of each set of equivalent atoms:
Ho (0.0000, 0.0000, 0.0000) [1 per cell]
Zr (0.0000, 0.0000, 0.3396) [2 per cell]
Zn (0.5000, 0.5000, 0.1837) [2 per cell]
Zn (0.5000, 0.5000, 0.5000) [1 per cell]

Computed properties:
Energy of formation from the pure elements in meV/atom: -281

---

(10)
Material: TiIn2AsRh
Method: DFT, PBE-GGA
State: optimized geometry

a b c (Å): 5.2283 5.2283 4.4942
angles (deg): 90.00 90.00 90.00
Space group P4/mmm (No. 123)
One atom of each set of equivalent atoms:
Ti (0.0000, 0.0000, 0.0000) [1 per cell]
In (0.0000, 0.5000, 0.5000) [2 per cell]
As (0.5000, 0.5000, 0.5000) [1 per cell]
Rh (0.5000, 0.5000, 0.0000) [1 per cell]

Computed properties:
Energy of formation from the pure elements in meV/atom: 699

---

(11)
Material: SiAg2Mo
Method: DFT, PBE-GGA
State: optimized geometry

a b c (Å): 3.8037 3.8630 9.0457
angles (deg): 90.00 90.00 90.00
Space group Cmmm (No. 65)
One atom of each set of equivalent atoms:
Si (0.0000, 0.0000, 0.0000) [2 per cell]
Ag (0.0000, 0.5000, 0.2482) [4 per cell]
Mo (0.0000, 0.0000, 0.5000) [2 per cell]

Computed properties:
Raw formation energy in meV per atom: 432.2

---

(12)
Material: FeTe2Ru
Method: DFT, PBE-GGA
State: optimized geometry

a b c (Å): 7.6987 3.6809 6.8175
angles (deg): 90.00 108.35 90.00
Space group Cm (No. 8)
One atom of each set of equivalent atoms:
Fe (0.0000, 0.0000, 0.0000) [2 per cell]
Te (0.0174, 0.5000, 0.6661) [2 per cell]
Te (0.2570, 0.5000, 0.1925) [2 per cell]
Ru (0.2730, 0.0000, 0.8872) [2 per cell]

Computed properties:
Raw formation energy in meV per atom: 98.9

---

The following M_tot values (in μB/atom) correspond, in order, to the records above: 0.000 0.000 0.088 0.001 0.640 0.439 0.000 0.000 0.000 0.000 0.000 0.727.